(1)
DFT (PBE) results for crystalline NaTiO2 at its relaxed geometry.

abc: 5.409 12.575 5.977
angles: 90.00 90.00 90.00
Fractional positions:
Na: 0.110 0.191 0.102
Na: 0.110 0.309 0.602
Na: 0.390 0.691 0.102
Na: 0.390 0.809 0.602
Na: 0.610 0.191 0.398
Na: 0.610 0.309 0.898
Na: 0.890 0.691 0.398
Na: 0.890 0.809 0.898
Ti: 0.135 0.058 0.671
Ti: 0.135 0.442 0.171
Ti: 0.365 0.558 0.671
Ti: 0.365 0.942 0.171
Ti: 0.635 0.058 0.829
Ti: 0.635 0.442 0.329
Ti: 0.865 0.558 0.829
Ti: 0.865 0.942 0.329
O: 0.122 0.667 0.776
O: 0.122 0.833 0.276
O: 0.178 0.047 0.352
O: 0.178 0.453 0.852
O: 0.322 0.547 0.352
O: 0.322 0.953 0.852
O: 0.378 0.167 0.776
O: 0.378 0.333 0.276
O: 0.622 0.667 0.724
O: 0.622 0.833 0.224
O: 0.678 0.047 0.148
O: 0.678 0.453 0.648
O: 0.822 0.547 0.148
O: 0.822 0.953 0.648
O: 0.878 0.167 0.724
O: 0.878 0.333 0.224

Calculated values
* total magnetic moment: 0.00 μB per cell
* formation energy without anion corrections: -2.373 eV per atom



(2)
DFT (PBE) results for crystalline PmSmHg4 at its relaxed geometry.

abc: 4.573 4.589 8.683
angles: 90.00 90.00 90.00
Fractional positions:
Pm: 0.000 0.000 0.000
Sm: 0.500 0.500 0.500
Hg: 0.000 0.500 0.251
Hg: 0.000 0.500 0.749
Hg: 0.500 0.000 0.252
Hg: 0.500 0.000 0.748

Calculated values
* total magnetic moment: 0.00 μB per cell
* E_form: -0.1892 eV per atom



(3)
DFT (PBE) results for crystalline NaInCuCl2 at its relaxed geometry.

abc: 5.593 5.593 4.969
angles: 90.00 90.00 90.00
Fractional positions:
Na: 0.000 0.000 0.000
In: 0.500 0.500 0.500
Cu: 0.500 0.500 0.000
Cl: 0.000 0.500 0.500
Cl: 0.500 0.000 0.500

Calculated values
* total magnetic moment: 0.00 μB per cell
* formation energy without anion corrections: -0.485 eV per atom



(4)
DFT (PBE) results for crystalline Sm3Ho2Cd3 at its relaxed geometry.

abc: 11.672 11.672 11.672
angles: 161.51 153.01 32.92
Fractional positions:
Sm: 0.000 0.000 0.000
Sm: 0.376 0.876 0.500
Sm: 0.624 0.124 0.500
Ho: 0.235 0.235 0.000
Ho: 0.765 0.765 0.000
Cd: 0.120 0.620 0.500
Cd: 0.500 0.500 0.000
Cd: 0.880 0.380 0.500

Calculated values
* total magnetic moment: 0.05 μB per cell
* E_form: -0.2347 eV per atom